A plane-wave DFT calculation with GGA-PBE was carried out for a relaxed structure of Li2MgAl.

```
Li2MgAl
1.0
2.834 0.000 0.000
0.000 4.556 0.000
-1.201 0.000 5.578
Li Mg Al
2 1 1
Direct
0.000 0.000 0.000
0.008 0.500 0.753
0.666 0.500 0.256
0.343 0.000 0.529
```

**Calculated volume**: 72 Å³ per cell
**Energy of formation**: -0.09 eV/atom
**Space-group type**: Pm, No. 6
**Magnetic moment**: 0.00 μB/f.u.
**Total energy**: -2.38 eV/atom